A plane-wave DFT calculation with PBE was carried out for PtPb2W after structural relaxation.

Cell lengths 6.9024, 6.9024, 6.9024 Å; angles 90.00, 90.00, 90.00 degrees
Space group Fm-3m (No. 225)
Asymmetric unit:
Pt (0.0000, 0.0000, 0.0000) x4
Pb (0.2500, 0.2500, 0.2500) x8
W (0.0000, 0.0000, 0.5000) x4

Output
* total energy: -5.787 eV per atom
* DFT formation energy: 0.815 eV/atom
* Fermi-level density of states: 0.510 states/eV/atom

***

A plane-wave DFT calculation with PBE was carried out for PtPb2W after structural relaxation.

Cell lengths 4.0947, 4.0947, 9.8869 Å; angles 90.00, 90.00, 90.00 degrees
Space group I-4m2 (No. 119)
Asymmetric unit:
Pt (0.0000, 0.0000, 0.0000) x2
Pb (0.0000, 0.0000, 0.5000) x2
Pb (0.0000, 0.5000, 0.2500) x2
W (0.0000, 0.5000, 0.7500) x2

Output
* total energy: -5.819 eV per atom
* DFT formation energy: 0.784 eV/atom
* Fermi-level density of states: 0.889 states/eV/atom

***

A plane-wave DFT calculation with PBE was carried out for Pt4PbW after structural relaxation.

Cell lengths 7.5546, 7.5546, 7.5546 Å; angles 90.00, 90.00, 90.00 degrees
Space group F-43m (No. 216)
Asymmetric unit:
Pt (0.1240, 0.1240, 0.1240) x16
Pb (0.0000, 0.0000, 0.5000) x4
W (0.2500, 0.2500, 0.7500) x4

Output
* total energy: -6.437 eV per atom
* DFT formation energy: 0.367 eV/atom
* Fermi-level density of states: 0.717 states/eV/atom

***

A plane-wave DFT calculation with PBE was carried out for PtPb2W after structural relaxation.

Cell lengths 3.2067, 3.2067, 27.9776 Å; angles 90.00, 90.00, 120.00 degrees
Space group R-3m (No. 166, hexagonal axes)
Asymmetric unit:
Pt (0.0000, 0.0000, 0.0000) x3
Pb (0.0000, 0.0000, 0.2515) x6
W (0.0000, 0.0000, 0.5000) x3

Output
* total energy: -5.878 eV per atom
* DFT formation energy: 0.725 eV/atom
* Fermi-level density of states: 0.726 states/eV/atom

***

A plane-wave DFT calculation with PBE was carried out for PtPb2W after structural relaxation.

Cell lengths 3.1097, 3.1206, 9.5162 Å; angles 90.00, 90.00, 90.00 degrees
Space group Pmm2 (No. 25)
Asymmetric unit:
Pt (0.0000, 0.0000, 0.0000) x1
Pb (0.0000, 0.0000, 0.5982) x1
Pb (0.5000, 0.5000, 0.2368) x1
W (0.5000, 0.5000, 0.8396) x1

Output
* total energy: -6.368 eV per atom
* DFT formation energy: 0.235 eV/atom
* Fermi-level density of states: 0.701 states/eV/atom

***

A plane-wave DFT calculation with PBE was carried out for PtPb2W after structural relaxation.

Cell lengths 3.0297, 5.1505, 11.3154 Å; angles 90.00, 90.00, 90.00 degrees
Space group Imm2 (No. 44)
Asymmetric unit:
Pt (0.0000, 0.0000, 0.0000) x2
Pb (0.0000, 0.0000, 0.5534) x2
Pb (0.0000, 0.5000, 0.7499) x2
W (0.0000, 0.5000, 0.3089) x2

Output
* total energy: -6.019 eV per atom
* DFT formation energy: 0.583 eV/atom
* Fermi-level density of states: 0.968 states/eV/atom

***

A plane-wave DFT calculation with PBE was carried out for PtPb2W after structural relaxation.

Cell lengths 3.8041, 4.9953, 8.7780 Å; angles 90.00, 90.00, 90.00 degrees
Space group Immm (No. 71)
Asymmetric unit:
Pt (0.0000, 0.0000, 0.0000) x2
Pb (0.0000, 0.5000, 0.2603) x4
W (0.0000, 0.0000, 0.5000) x2

Output
* total energy: -5.770 eV per atom
* DFT formation energy: 0.832 eV/atom
* Fermi-level density of states: 1.200 states/eV/atom

***

A plane-wave DFT calculation with PBE was carried out for PtPb2W after structural relaxation.

Cell lengths 6.4432, 9.3152, 3.0721 Å; angles 90.00, 114.28, 90.00 degrees
Space group C2/m (No. 12)
Asymmetric unit:
Pt (0.0000, 0.0000, 0.0000) x2
Pb (0.2500, 0.2500, 0.5000) x4
W (0.0000, 0.5000, 0.0000) x2

Output
* total energy: -5.849 eV per atom
* DFT formation energy: 0.754 eV/atom
* Fermi-level density of states: 0.648 states/eV/atom

***

A plane-wave DFT calculation with PBE was carried out for PtPb2W after structural relaxation.

Cell lengths 3.1419, 3.1419, 32.5763 Å; angles 90.00, 90.00, 120.00 degrees
Space group R3m (No. 160, hexagonal axes)
Asymmetric unit:
Pt (0.0000, 0.0000, 0.0000) x3
Pb (0.0000, 0.0000, 0.2559) x3
Pb (0.0000, 0.0000, 0.4716) x3
W (0.0000, 0.0000, 0.7264) x3

Output
* total energy: -6.205 eV per atom
* DFT formation energy: 0.397 eV/atom
* Fermi-level density of states: 0.845 states/eV/atom

***

A plane-wave DFT calculation with PBE was carried out for PtPb2W after structural relaxation.

Cell lengths 7.7959, 7.7959, 6.0494 Å; angles 90.00, 90.00, 90.00 degrees
Space group I-42d (No. 122)
Asymmetric unit:
Pt (0.0000, 0.0000, 0.0000) x4
Pb (0.2348, 0.7500, 0.1250) x8
W (0.0000, 0.0000, 0.5000) x4

Output
* total energy: -5.608 eV per atom
* DFT formation energy: 0.995 eV/atom
* Fermi-level density of states: 0.748 states/eV/atom

***

A plane-wave DFT calculation with PBE was carried out for PtPb2W after structural relaxation.

Cell lengths 3.2047, 3.2047, 8.1019 Å; angles 90.00, 90.00, 90.00 degrees
Space group P4/mmm (No. 123)
Asymmetric unit:
Pt (0.0000, 0.0000, 0.0000) x1
Pb (0.5000, 0.5000, 0.2457) x2
W (0.0000, 0.0000, 0.5000) x1

Output
* total energy: -5.781 eV per atom
* DFT formation energy: 0.822 eV/atom
* Fermi-level density of states: 0.931 states/eV/atom

***

A plane-wave DFT calculation with PBE was carried out for PtPb2W after structural relaxation.

Cell lengths 10.9648, 3.0155, 5.4724 Å; angles 90.00, 109.08, 90.00 degrees
Space group Cm (No. 8)
Asymmetric unit:
Pt (0.0000, 0.0000, 0.0000) x2
Pb (0.2365, 0.0000, 0.8561) x2
Pb (0.4367, 0.0000, 0.4769) x2
W (0.1775, 0.5000, 0.3396) x2

Output
* total energy: -6.091 eV per atom
* DFT formation energy: 0.512 eV/atom
* Fermi-level density of states: 0.768 states/eV/atom

***

Look up the DFT formation energy of the tenth one. 0.995 eV/atom